No. 1
VASP calculation (GGA-PBE) on a relaxed structure of ScTc2Pb.

Structure (extended XYZ):
```
4
Lattice="0.000 3.289 3.289 3.289 0.000 3.289 3.289 3.289 0.000" Properties=species:S:1:pos:R:3 pbc="T T T"
Sc 0.000 0.000 0.000
Tc 1.645 1.645 1.645
Tc 4.934 4.934 4.934
Pb 3.289 3.289 3.289
```

Values from the calculation:
- SG: No. 225
- Formation enthalpy at 0 K: 0.253 eV per atom

=====

No. 2
VASP calculation (GGA-PBE) on a relaxed structure of Na2LaCdBi2.

Structure (extended XYZ):
```
12
Lattice="4.968 0.000 0.000 0.000 9.595 0.000 0.000 0.000 7.809" Properties=species:S:1:pos:R:3 pbc="T T T"
Na 0.000 0.624 0.000
Na 0.000 8.971 3.904
Na 2.484 1.495 2.443
Na 2.484 8.101 6.348
La 2.484 4.478 7.494
La 2.484 5.117 3.589
Cd 0.000 3.084 4.942
Cd 0.000 6.511 1.037
Bi 0.000 3.457 1.787
Bi 0.000 6.138 5.691
Bi 2.484 1.632 5.692
Bi 2.484 7.963 1.787
```

Values from the calculation:
- SG: No. 26
- Formation enthalpy at 0 K: -0.482 eV per atom

=====

No. 3
VASP calculation (GGA-PBE) on a relaxed structure of LiInAgHg.

Structure (extended XYZ):
```
4
Lattice="0.000 3.424 3.424 3.424 0.000 3.424 3.424 3.424 0.000" Properties=species:S:1:pos:R:3 pbc="T T T"
Li 0.000 0.000 0.000
In 3.424 3.424 3.424
Ag 1.712 1.712 1.712
Hg 5.136 5.136 5.136
```

Values from the calculation:
- SG: No. 216
- Formation enthalpy at 0 K: -0.185 eV per atom

=====

No. 4
VASP calculation (GGA-PBE) on a relaxed structure of TaTc2HAu.

Structure (extended XYZ):
```
5
Lattice="4.025 0.000 0.000 0.000 4.025 0.000 0.000 0.000 4.041" Properties=species:S:1:pos:R:3 pbc="T T T"
Ta 0.000 0.000 0.000
Tc 0.000 2.012 2.020
Tc 2.012 0.000 2.020
H 0.000 0.000 2.020
Au 2.012 2.012 0.000
```

Values from the calculation:
- Total DFT energy (no corrections): -0.5799 Ry per atom
- SG: No. 123

=====

No. 5
VASP calculation (GGA-PBE) on a relaxed structure of Na2PaAuS4.

Structure (extended XYZ):
```
8
Lattice="-3.586 3.586 3.288 3.586 -3.586 3.288 3.586 3.586 -3.288" Properties=species:S:1:pos:R:3 pbc="T T T"
Na 3.586 0.000 0.000
Na 0.000 3.586 0.000
Pa 0.000 0.000 0.000
Au 0.000 0.000 3.288
S 2.191 2.191 -1.627
S 1.395 1.395 1.661
S 1.395 -1.395 4.915
S -1.395 1.395 4.915
```

Values from the calculation:
- SG: No. 121
- Raw formation energy: -0.987 eV/atom

=====

No. 6
VASP calculation (GGA-PBE) on a relaxed structure of Pr8DySc2.

Structure (extended XYZ):
```
11
Lattice="-2.784 4.268 7.890 2.784 -4.268 7.890 2.784 4.268 -7.890" Properties=species:S:1:pos:R:3 pbc="T T T"
Pr 2.784 2.539 -2.279
Pr 0.000 0.000 2.518
Pr 0.000 2.570 0.000
Pr 2.784 2.539 2.279
Pr 0.000 1.729 5.612
Pr 0.000 5.966 0.000
Pr 0.000 0.000 13.263
Pr 0.000 1.729 10.169
Dy 2.784 0.000 0.000
Sc 2.784 0.000 4.715
Sc 0.000 4.268 3.176
```

Values from the calculation:
- SG: No. 71
- Formation enthalpy at 0 K: 0.123 eV per atom